Entry 1:
The following is a PBE-GGA calculation of a geometry-optimized SrClF2 structure, from the Alexandria database.

Lattice parameters (Å, degrees): 4.5455 4.5455 4.5455 60.00 60.00 60.00
Positions (direct):
Sr: 0.0000 0.0000 0.0000
Cl: 0.5000 0.5000 0.5000
F: 0.2500 0.2500 0.2500
F: 0.7500 0.7500 0.7500

* uncorrected energy: -16.80 eV per cell
* symmetry: Fm-3m
* total magnetization: 0.250 μB/atom
* polymorph energy (0 for the lowest one): 0.177 eV/atom



Entry 2:
The following is a PBE-GGA calculation of a geometry-optimized SrCl3F structure, from the Alexandria database.

Lattice parameters (Å, degrees): 4.8207 4.8207 4.8207 90.00 90.00 90.00
Positions (direct):
Sr: 0.0000 0.0000 0.0000
Cl: 0.0000 0.5000 0.5000
Cl: 0.5000 0.0000 0.5000
Cl: 0.5000 0.5000 0.0000
F: 0.5000 0.5000 0.5000

* uncorrected energy: -14.65 eV per cell
* symmetry: Pm-3m
* total magnetization: 0.000 μB/atom
* polymorph energy (0 for the lowest one): 0.000 eV/atom



Entry 3:
The following is a PBE-GGA calculation of a geometry-optimized SrCl6F2 structure, from the Alexandria database.

Lattice parameters (Å, degrees): 4.1060 4.2174 16.1822 86.99 87.42 63.43
Positions (direct):
Sr: 0.0000 0.0000 0.0000
Cl: 0.1377 0.9310 0.7072
Cl: 0.2165 0.2803 0.5214
Cl: 0.2353 0.6515 0.8165
Cl: 0.7647 0.3485 0.1835
Cl: 0.7835 0.7197 0.4786
Cl: 0.8623 0.0690 0.2928
F: 0.3428 0.3358 0.9537
F: 0.6572 0.6642 0.0463

* uncorrected energy: -27.59 eV per cell
* symmetry: P-1
* total magnetization: 0.000 μB/atom



Entry 4:
The following is a PBE-GGA calculation of a geometry-optimized SrCl2F structure, from the Alexandria database.

Lattice parameters (Å, degrees): 11.2069 11.2069 11.2069 159.46 159.46 29.20
Positions (direct):
Sr: 0.0000 0.0000 0.0000
Sr: 0.7500 0.2500 0.5000
Cl: 0.1235 0.6250 0.9985
Cl: 0.3750 0.3735 0.4985
Cl: 0.6265 0.1250 0.0015
Cl: 0.8750 0.8765 0.5015
F: 0.2500 0.7500 0.5000
F: 0.5000 0.5000 0.0000

* uncorrected energy: -29.65 eV per cell
* symmetry: I-42d
* total magnetization: 0.000 μB/atom
* polymorph energy (0 for the lowest one): 0.000 eV/atom



Entry 5:
The following is a PBE-GGA calculation of a geometry-optimized Sr2ClF8 structure, from the Alexandria database.

Lattice parameters (Å, degrees): 7.4152 7.4152 4.2704 106.68 106.68 115.85
Positions (direct):
Sr: 0.1760 0.8240 0.0000
Sr: 0.8240 0.1760 0.0000
Cl: 0.6097 0.6097 0.1111
F: 0.0933 0.0933 0.0931
F: 0.3310 0.5215 0.9285
F: 0.3951 0.9147 0.6547
F: 0.5215 0.3310 0.9285
F: 0.6243 0.6243 0.6255
F: 0.6906 0.9184 0.3047
F: 0.9147 0.3951 0.6547
F: 0.9184 0.6906 0.3047

* uncorrected energy: -45.77 eV per cell
* symmetry: Cm
* total magnetization: 0.007 μB/atom



Entry 6:
The following is a PBE-GGA calculation of a geometry-optimized SrClF structure, from the Alexandria database.

Lattice parameters (Å, degrees): 5.5816 5.5816 5.5816 143.02 143.02 53.29
Positions (direct):
Sr: 0.0000 0.0000 0.0000
Cl: 0.2992 0.2992 0.0000
F: 0.5718 0.5718 0.0000

* uncorrected energy: -14.11 eV per cell
* symmetry: I4mm
* total magnetization: 0.000 μB/atom
* polymorph energy (0 for the lowest one): 0.346 eV/atom



Entry 7:
The following is a PBE-GGA calculation of a geometry-optimized SrCl2F structure, from the Alexandria database.

Lattice parameters (Å, degrees): 4.9787 4.9787 4.9787 60.00 60.00 60.00
Positions (direct):
Sr: 0.0000 0.0000 0.0000
Cl: 0.2500 0.2500 0.2500
Cl: 0.7500 0.7500 0.7500
F: 0.5000 0.5000 0.5000

* uncorrected energy: -14.41 eV per cell
* symmetry: Fm-3m
* total magnetization: 0.250 μB/atom
* polymorph energy (0 for the lowest one): 0.103 eV/atom



Entry 8:
The following is a PBE-GGA calculation of a geometry-optimized Sr5Cl12F3 structure, from the Alexandria database.

Lattice parameters (Å, degrees): 15.4060 15.4060 15.4060 109.47 109.47 109.47
Positions (direct):
Sr: 0.0000 0.0000 0.0000
Sr: 0.0000 0.0000 0.5000
Sr: 0.0000 0.5000 0.0000
Sr: 0.0000 0.5000 0.5000
Sr: 0.1250 0.7500 0.8750
Sr: 0.1250 0.8750 0.2500
Sr: 0.2500 0.1250 0.8750
Sr: 0.2500 0.6250 0.3750
Sr: 0.3750 0.2500 0.6250
Sr: 0.3750 0.6250 0.7500
Sr: 0.5000 0.0000 0.0000
Sr: 0.5000 0.0000 0.5000
Sr: 0.5000 0.5000 0.0000
Sr: 0.5000 0.5000 0.5000
Sr: 0.6250 0.3750 0.2500
Sr: 0.6250 0.7500 0.3750
Sr: 0.7500 0.3750 0.6250
Sr: 0.7500 0.8750 0.1250
Sr: 0.8750 0.1250 0.7500
Sr: 0.8750 0.2500 0.1250
Cl: 0.0284 0.2120 0.0884
Cl: 0.0284 0.3164 0.9400
Cl: 0.0600 0.5884 0.3764
Cl: 0.0600 0.9716 0.6836
Cl: 0.0884 0.0284 0.2120
Cl: 0.0884 0.5600 0.8764
Cl: 0.1236 0.7120 0.6836
Cl: 0.1236 0.9116 0.4400
Cl: 0.1836 0.2120 0.6236
Cl: 0.1836 0.4716 0.5600
Cl: 0.2120 0.0884 0.0284
Cl: 0.2120 0.6236 0.1836
Cl: 0.2880 0.3164 0.8764
Cl: 0.2880 0.4716 0.4116
Cl: 0.3164 0.8764 0.2880
Cl: 0.3164 0.9400 0.0284
Cl: 0.3764 0.0600 0.5884
Cl: 0.3764 0.8164 0.7880
Cl: 0.4116 0.2880 0.4716
Cl: 0.4116 0.6236 0.9400
Cl: 0.4400 0.1236 0.9116
Cl: 0.4400 0.8164 0.5284
Cl: 0.4716 0.4116 0.2880
Cl: 0.4716 0.5600 0.1836
Cl: 0.5284 0.4400 0.8164
Cl: 0.5284 0.5884 0.7120
Cl: 0.5600 0.1836 0.4716
Cl: 0.5600 0.8764 0.0884
Cl: 0.5884 0.3764 0.0600
Cl: 0.5884 0.7120 0.5284
Cl: 0.6236 0.1836 0.2120
Cl: 0.6236 0.9400 0.4116
Cl: 0.6836 0.0600 0.9716
Cl: 0.6836 0.1236 0.7120
Cl: 0.7120 0.5284 0.5884
Cl: 0.7120 0.6836 0.1236
Cl: 0.7880 0.3764 0.8164
Cl: 0.7880 0.9116 0.9716
Cl: 0.8164 0.5284 0.4400
Cl: 0.8164 0.7880 0.3764
Cl: 0.8764 0.0884 0.5600
Cl: 0.8764 0.2880 0.3164
Cl: 0.9116 0.4400 0.1236
Cl: 0.9116 0.9716 0.7880
Cl: 0.9400 0.0284 0.3164
Cl: 0.9400 0.4116 0.6236
Cl: 0.9716 0.6836 0.0600
Cl: 0.9716 0.7880 0.9116
F: 0.1250 0.2500 0.3750
F: 0.1250 0.3750 0.7500
F: 0.2500 0.3750 0.1250
F: 0.2500 0.8750 0.6250
F: 0.3750 0.1250 0.2500
F: 0.3750 0.7500 0.1250
F: 0.6250 0.2500 0.8750
F: 0.6250 0.8750 0.7500
F: 0.7500 0.1250 0.3750
F: 0.7500 0.6250 0.8750
F: 0.8750 0.6250 0.2500
F: 0.8750 0.7500 0.6250

* uncorrected energy: -266.03 eV per cell
* symmetry: Ia-3d
* total magnetization: 0.254 μB/atom



E_form (uncorrected) (eV/atom)
-2.38; -1.11; -1.23; -1.89; -2.33; -2.90; -1.79; -1.52